[1]
4
Lattice="-2.2823 0.0219 -2.0438 -0.8600 -2.7895 0.9304 -4.5452 3.1054 5.1090" Properties=species:S:1:pos:R:3 comment="CeRu2W GGA-PBE optimized geometry" spacegroup="No. 123" crystal_system=tetragonal pbc="T T T"
Ce -3.8438 0.1689 1.9978
Ru -0.9264 0.6330 1.0413
Ru -3.6188 2.4724 4.0676
W -1.5711 -1.3838 -0.5567

---

[2]
4
Lattice="2.8709 0.0000 0.0000 1.4355 2.4863 0.0000 1.4355 0.8288 9.5059" Properties=species:S:1:pos:R:3 comment="CeRu2W GGA-PBE optimized geometry" spacegroup="No. 166" crystal_system=trigonal pbc="T T T"
Ce 2.8709 1.6575 4.7529
Ru 4.3064 2.4863 7.4046
Ru 1.4355 0.8288 2.1013
W 0.0000 0.0000 0.0000

---

[3]
12
Lattice="-4.8245 -0.0202 1.1155 -3.3646 -0.7324 -3.5634 -2.1841 -12.6375 1.2354" Properties=species:S:1:pos:R:3 comment="Ce2Y5Ru5 GGA-PBE optimized geometry" spacegroup="No. 12" crystal_system=monoclinic pbc="T T T"
Y -5.1866 -6.6951 -0.6062
Y -7.6806 -12.2673 -0.5409
Y -2.6926 -1.1228 -0.6716
Y -2.5439 -4.5687 -0.1022
Y -7.8293 -8.8214 -1.1102
Ru -4.9985 -10.9043 0.0915
Ru 0.0000 0.0000 0.0000
Ru -5.3748 -2.4858 -1.3040
Ru -7.9635 -6.0259 -1.5764
Ru -2.4097 -7.3642 0.3639
Ce -2.3025 -9.8760 0.7771
Ce -8.0708 -3.5141 -1.9896

---

[4]
12
Lattice="6.7338 0.0000 0.0000 0.0000 7.1438 0.0000 -3.3669 -3.5719 6.7616" Properties=species:S:1:pos:R:3 comment="CeY3Ru2 GGA-PBE optimized geometry" spacegroup="No. 72" crystal_system=orthorhombic pbc="T T T"
Ru 1.6734 0.0000 5.0904
Ru 5.0402 0.0000 1.6713
Ru 1.6935 3.5719 1.6713
Ru -1.6734 3.5719 5.0904
Y 0.0000 5.3579 3.2418
Y 0.0000 1.7860 3.2418
Y 3.3669 -1.7860 3.5198
Y 3.3669 1.7860 3.5198
Y 3.3669 5.3579 0.0000
Y 3.3669 1.7860 0.0000
Ce 0.0000 0.0000 0.0000
Ce 0.0000 3.5719 0.0000

---

[5]
12
Lattice="6.2508 0.0000 0.0000 0.0000 6.8696 -0.2486 0.0000 -0.2446 6.8697" Properties=species:S:1:pos:R:3 comment="CeY3Ru2 GGA-PBE optimized geometry" spacegroup="No. 63" crystal_system=orthorhombic pbc="T T T"
Ru 0.0000 1.8189 1.8178
Ru 0.0000 4.8061 4.8033
Ru 3.1254 4.8061 4.8033
Ru 3.1254 1.8189 1.8178
Y 4.6881 0.2064 6.4184
Y 4.6881 6.3186 2.6919
Y 1.5627 0.3063 3.9292
Y 1.5627 2.6956 6.3171
Y 1.5627 6.4185 0.2027
Y 4.6881 3.9294 0.3040
Ce 4.6881 2.8388 3.7845
Ce 1.5627 3.7862 2.8366

---

[6]
16
Lattice="-0.4484 5.7247 2.4242 -6.3325 -2.6254 5.0284 8.2151 -0.2759 2.1711" Properties=species:S:1:pos:R:3 comment="Ce5Y5Ru6 GGA-PBE optimized geometry" spacegroup="No. 38" crystal_system=orthorhombic pbc="T T T"
Ru 3.2707 -0.1994 1.0759
Ru 4.1240 1.0878 6.2070
Ru 1.0903 -1.6802 4.1694
Ru -1.6629 0.1532 7.3436
Ru -2.8643 4.6069 4.6170
Ru 0.5251 1.7076 4.0776
Y 1.7233 2.7852 1.7545
Y 1.1715 0.7114 6.5497
Y -0.0755 -2.8264 6.6607
Y 3.3814 -2.2681 5.9817
Y -1.7116 2.2305 2.4291
Ce 3.3593 0.3918 3.7279
Ce -1.9174 2.4199 5.9251
Ce -1.6946 -0.4245 4.7206
Ce 0.5149 -0.7936 1.9692
Ce 3.1365 3.2361 4.9324

---

| no. | energy of formation (eV per atom) | total energy (eV/atom) |
| --- | --- | --- |
| 1 | -0.124 | -9.484 |
| 2 | 0.179 | -9.181 |
| 3 | -0.251 | -7.798 |
| 4 | -0.329 | -7.642 |
| 5 | -0.329 | -7.642 |
| 6 | -0.319 | -7.672 |